Below is RePb2O4F after structural relaxation, with properties calculated at the PBE level.

Computed properties:
- Raw formation energy: -1.410 eV per atom

```
RePb2O4F
1.0
-3.384 -0.710 -0.102
-1.038 -2.853 -4.382
-0.301 -7.286 2.028
Re Pb O F
1 2 4 1
Direct
0.000 0.000 0.000
0.831 0.601 0.737
0.169 0.399 0.263
0.139 0.964 0.758
0.397 0.253 0.953
0.861 0.036 0.242
0.603 0.747 0.047
0.500 0.500 0.500
```